A plane-wave DFT calculation with GGA-PBE was carried out for crystalline MgH5Ir2 at its relaxed geometry.

abc: 4.030 4.907 4.323
angles: 63.87 90.00 114.24
Element x y z (fractional)
Ir: 0.946 0.006 0.627
Ir: 0.491 0.096 0.082
H: 0.170 0.830 0.495
H: 0.891 0.273 0.774
H: 0.891 0.273 0.214
H: 0.170 0.830 0.936
H: 0.596 0.551 0.855
Mg: 0.654 0.551 0.355

DFT total energy = -0.1685 Ha/atom
crystal system = orthorhombic
space group = Imm2, No. 44